No. 1
TeO3 | Alexandria | PBE | relaxed; energy above the lowest structure with this stoichiometry = 919 meV/atom
1.0
5.271 6.394 -0.080
-5.271 6.394 -0.080
0.000 1.931 5.766
Te O
2 6
Direct
0.000 0.000 0.500
0.000 0.000 0.000
0.523 0.944 0.444
0.861 0.139 0.250
0.056 0.477 0.056
0.477 0.056 0.556
0.139 0.861 0.750
0.944 0.523 0.944

***

No. 2
TeO3 | Alexandria | PBE | relaxed; energy above the lowest structure with this stoichiometry = 0 meV/atom
1.0
5.244 0.000 0.059
-2.625 4.540 0.059
0.762 1.321 5.324
Te O
2 6
Direct
0.667 0.333 0.000
0.333 0.667 0.000
0.554 0.935 0.209
0.685 0.685 0.791
0.446 0.065 0.791
0.935 0.554 0.209
0.065 0.446 0.791
0.315 0.315 0.209

***

No. 3
Entry from Alexandria: a geometry-optimized TeO2 structure (PBE).

POSCAR file:
```
TeO2
1.0
-3.072 1.305 -2.968
-3.615 -0.305 3.608
1.462 8.385 2.174
O Te
8 4
Direct
0.838 0.759 0.718
0.338 0.741 0.282
0.662 0.241 0.218
0.162 0.259 0.782
0.281 0.858 0.960
0.781 0.642 0.040
0.219 0.142 0.460
0.719 0.358 0.540
0.882 0.958 0.897
0.382 0.542 0.103
0.618 0.042 0.397
0.118 0.458 0.603
```

***

No. 4
ThTe2O6 | Alexandria | PBE | relaxed; energy above the lowest structure with this stoichiometry = 0 meV/atom
1.0
-6.893 7.430 -5.262
-3.932 -5.526 -2.652
-6.950 -3.608 4.009
Th Te O
4 8 24
Direct
0.092 0.254 0.005
0.592 0.746 0.495
0.908 0.746 0.995
0.408 0.254 0.505
0.278 0.806 0.433
0.778 0.194 0.067
0.722 0.194 0.567
0.222 0.806 0.933
0.922 0.728 0.544
0.422 0.272 0.956
0.078 0.272 0.456
0.578 0.728 0.044
0.249 0.967 0.176
0.749 0.033 0.324
0.751 0.033 0.824
0.251 0.967 0.676
0.402 0.996 0.415
0.902 0.004 0.085
0.598 0.004 0.585
0.098 0.996 0.915
0.401 0.612 0.458
0.901 0.388 0.042
0.599 0.388 0.542
0.099 0.612 0.958
0.020 0.477 0.706
0.520 0.523 0.794
0.980 0.523 0.294
0.480 0.477 0.206
0.905 0.858 0.681
0.405 0.142 0.819
0.095 0.142 0.319
0.595 0.858 0.181
0.777 0.572 0.618
0.277 0.428 0.882
0.223 0.428 0.382
0.723 0.572 0.118

***

| no. | uncorrected formation energy (eV per atom) |
| --- | --- |
| 1 | 0.10 |
| 2 | -0.82 |
| 3 | -1.01 |
| 4 | -2.00 |